MnTe3O: relaxed, GGA+U.

The structure in POSCAR format:
```
MnTe3O
1.0
-4.205 1.788 -1.619
0.680 -2.243 -4.244
-2.314 -3.908 1.695
Te O Mn
3 1 1
Direct
0.500 0.000 0.000
0.000 0.000 0.500
0.000 0.500 0.000
0.000 0.000 0.000
0.500 0.500 0.500
```

Computed properties:
* SG: Pm-3m (221)
* ΔE to the lowest computed polymorph: 0.0 kJ/mol of formula units
* total magnetization: 4.88 μB/f.u.